Li7Co5O12 | GGA+U | relaxed

```
Li7Co5O12
1.0
-4.645 4.579 5.585
-4.117 -1.282 -2.373
-1.771 -4.232 1.996
O Co Li
12 5 7
direct
0.000 0.741 0.785
0.500 0.785 0.224
0.828 0.245 0.776
0.675 0.247 0.219
0.172 0.245 0.776
0.325 0.753 0.781
0.000 0.259 0.215
0.828 0.755 0.224
0.172 0.755 0.224
0.500 0.215 0.776
0.325 0.247 0.219
0.675 0.753 0.781
0.664 0.000 0.000
0.831 0.500 0.000
0.000 0.000 0.000
0.336 0.000 0.000
0.169 0.500 0.000
0.000 0.500 0.500
0.171 0.000 0.500
0.338 0.500 0.500
0.500 0.500 0.000
0.500 0.000 0.500
0.829 0.000 0.500
0.662 0.500 0.500
```

Values from the calculation:
For the total magnetization, the calculation gives 3.962 μB/cell. The value obtained for the energy above the most stable polymorph in this dataset is 0.64 kcal/mol of atoms. Its symmetry is P2/m (10).